Record 1
{"formula": "MgZnSn2", "functional": "PBE", "state": "relaxed", "lattice": [[0.4147, -4.4019, 2.5026], [1.4048, -0.0238, 4.8824], [-3.3708, -1.1986, 3.6073]], "species": ["Mg", "Zn", "Sn", "Sn"], "fractional_positions": [[0.0000, 0.0000, 0.0000], [0.5000, 0.5000, 0.5000], [0.2500, 0.2500, 0.2500], [0.7500, 0.7500, 0.7500]], "formation_enthalpy_0k_mev_per_atom": 46.4, "spacegroup": "Fm-3m", "de_polymorph_mev_per_atom": 43.7, "n_ef_per_ev_fu": 2.094, "total_energy_ev_per_atom": -2.672}

---

Record 2
{"formula": "Ac2Tl2Au15", "functional": "PBE", "state": "relaxed", "lattice": [[-5.0604, -4.7478, 2.8621], [-2.5655, -2.8599, -6.4482], [4.1691, -6.2400, -0.1481]], "species": ["Ac", "Ac", "Tl", "Tl", "Au", "Au", "Au", "Au", "Au", "Au", "Au", "Au", "Au", "Au", "Au", "Au", "Au", "Au", "Au"], "fractional_positions": [[0.3459, 0.3459, 0.3459], [0.6541, 0.6541, 0.6541], [0.1013, 0.1013, 0.1013], [0.8987, 0.8987, 0.8987], [0.5000, 0.0000, 0.0000], [0.0000, 0.0000, 0.5000], [0.0000, 0.5000, 0.0000], [0.0000, 0.6918, 0.3082], [0.6918, 0.3082, 0.0000], [0.3082, 0.0000, 0.6918], [0.3082, 0.6918, 0.0000], [0.6918, 0.0000, 0.3082], [0.0000, 0.3082, 0.6918], [0.1614, 0.6371, 0.6371], [0.6371, 0.6371, 0.1614], [0.6371, 0.1614, 0.6371], [0.8386, 0.3629, 0.3629], [0.3629, 0.3629, 0.8386], [0.3629, 0.8386, 0.3629]], "formation_enthalpy_0k_mev_per_atom": -301.7, "spacegroup": "R-3m", "n_ef_per_ev_fu": 8.680, "total_energy_ev_per_atom": -3.571}